First-principles (GGA-PBE) data for an optimized crystal structure of BaTlHgSe2, as listed in Alexandria via LeMat-Bulk.

abc: 4.5526 7.8865 8.9066
angles: 90.00 90.00 90.00
Space group Pccm (No. 49)
One atom of each set of equivalent atoms:
1 Ba 0.0000 0.0000 0.2500 (multiplicity 2)
2 Tl 0.5000 0.5000 0.2500 (multiplicity 2)
3 Hg 0.0000 0.5000 0.0000 (multiplicity 2)
4 Se 0.4464 0.1687 0.0000 (multiplicity 4)

Computed properties:
uncorrected formation energy: -0.80 eV/atom
uncorrected energy: -3.117 eV/atom
DOS at the Fermi energy: 0.36 states/eV per atom